DyHfSn | PBE | optimized geometry

Computed properties:
energy relative to the elements: -0.10 eV/atom
magnetic moment: 0.000 μB/atom

Cell: 3.934 3.934 10.025 Å, 90.00 90.00 90.00°
Positions (direct):
1 Sn 0.000 0.500 0.570
2 Sn 0.500 0.000 0.430
3 Dy 0.500 0.000 0.752
4 Dy 0.000 0.500 0.248
5 Hf 0.000 0.500 0.932
6 Hf 0.500 0.000 0.068

=====

Y3Mg5H12 | PBE | optimized geometry

Computed properties:
raw total energy: -3.630 eV/atom
magnetic moment: 0.000 μB/atom

Cell: 10.568 10.568 10.568 Å, 109.47 109.47 109.47°
Positions (direct):
1 Y 0.750 0.375 0.125
2 Y 0.875 0.750 0.125
3 Y 0.375 0.750 0.625
4 Y 0.250 0.125 0.375
5 Y 0.875 0.125 0.250
6 Y 0.375 0.625 0.250
7 Y 0.625 0.375 0.750
8 Y 0.125 0.875 0.750
9 Y 0.750 0.875 0.625
10 Y 0.625 0.250 0.375
11 Y 0.125 0.250 0.875
12 Y 0.250 0.625 0.875
13 Mg 0.125 0.375 0.250
14 Mg 0.000 0.500 0.000
15 Mg 0.000 0.000 0.000
16 Mg 0.375 0.250 0.125
17 Mg 0.500 0.000 0.500
18 Mg 0.500 0.500 0.000
19 Mg 0.125 0.750 0.375
20 Mg 0.750 0.125 0.875
21 Mg 0.750 0.625 0.375
22 Mg 0.375 0.125 0.750
23 Mg 0.625 0.875 0.250
24 Mg 0.500 0.500 0.500
25 Mg 0.500 0.000 0.000
26 Mg 0.000 0.000 0.500
27 Mg 0.250 0.375 0.625
28 Mg 0.250 0.875 0.125
29 Mg 0.000 0.500 0.500
30 Mg 0.875 0.250 0.625
31 Mg 0.625 0.750 0.875
32 Mg 0.875 0.625 0.750
33 H 0.718 0.136 0.048
34 H 0.330 0.548 0.412
35 H 0.952 0.364 0.282
36 H 0.548 0.218 0.136
37 H 0.582 0.718 0.670
38 H 0.952 0.588 0.170
39 H 0.330 0.782 0.418
40 H 0.088 0.918 0.136
41 H 0.588 0.952 0.670
42 H 0.718 0.582 0.170
43 H 0.782 0.452 0.364
44 H 0.830 0.912 0.048
45 H 0.136 0.718 0.548
46 H 0.364 0.412 0.082
47 H 0.082 0.912 0.364
48 H 0.418 0.136 0.588
49 H 0.082 0.170 0.218
50 H 0.452 0.670 0.088
51 H 0.830 0.918 0.282
52 H 0.136 0.418 0.088
53 H 0.364 0.952 0.782
54 H 0.588 0.636 0.418
55 H 0.912 0.830 0.548
56 H 0.782 0.330 0.918
57 H 0.412 0.364 0.582
58 H 0.088 0.170 0.452
59 H 0.218 0.670 0.082
60 H 0.170 0.082 0.718
61 H 0.636 0.048 0.218
62 H 0.864 0.582 0.912
63 H 0.548 0.330 0.912
64 H 0.582 0.864 0.412
65 H 0.918 0.830 0.782
66 H 0.918 0.088 0.636
67 H 0.864 0.282 0.452
68 H 0.170 0.088 0.952
69 H 0.636 0.588 0.918
70 H 0.412 0.048 0.330
71 H 0.282 0.418 0.830
72 H 0.218 0.548 0.636
73 H 0.912 0.082 0.864
74 H 0.670 0.218 0.582
75 H 0.452 0.782 0.864
76 H 0.048 0.412 0.830
77 H 0.418 0.282 0.330
78 H 0.048 0.636 0.718
79 H 0.670 0.452 0.588
80 H 0.282 0.864 0.952

=====

Na12Sr16Ca | PBE | optimized geometry

Computed properties:
energy relative to the elements: 0.03 eV/atom
magnetic moment: 0.000 μB/atom

Cell: 12.087 12.087 12.186 Å, 109.46 109.46 109.06°
Positions (direct):
1 Na 0.816 0.816 0.179
2 Na 0.642 0.642 0.826
3 Na 0.357 0.183 0.998
4 Na 0.826 0.642 0.641
5 Na 0.185 0.998 0.355
6 Na 0.360 0.996 0.180
7 Na 0.177 0.815 0.819
8 Na 0.815 0.177 0.819
9 Na 0.996 0.360 0.180
10 Na 0.998 0.185 0.355
11 Na 0.642 0.826 0.641
12 Na 0.183 0.357 0.998
13 Sr 0.363 0.363 0.356
14 Sr 0.999 0.999 0.001
15 Sr 0.999 0.999 0.642
16 Sr 0.315 0.315 0.697
17 Sr 0.668 0.398 0.003
18 Sr 0.613 0.291 0.613
19 Sr 0.999 0.678 0.389
20 Sr 0.000 0.636 0.001
21 Sr 0.709 0.325 0.322
22 Sr 0.389 0.000 0.677
23 Sr 0.000 0.389 0.677
24 Sr 0.325 0.709 0.322
25 Sr 0.636 0.000 0.001
26 Sr 0.678 0.999 0.389
27 Sr 0.291 0.613 0.613
28 Sr 0.398 0.668 0.003
29 Ca 0.622 0.622 0.304

=====

MnAl3Ir2 | PBE | optimized geometry

Computed properties:
energy relative to the elements: -0.72 eV/atom
magnetic moment: 0.257 μB/atom

Cell: 2.974 2.974 9.072 Å, 90.00 90.00 90.00°
Positions (direct):
1 Mn 0.500 0.500 0.500
2 Al 0.000 0.000 0.000
3 Al 0.000 0.000 0.660
4 Al 0.000 0.000 0.340
5 Ir 0.500 0.500 0.831
6 Ir 0.500 0.500 0.169

=====

AcTb5Pm2 | PBE | optimized geometry

Computed properties:
energy relative to the elements: 0.03 eV/atom
magnetic moment: 0.000 μB/atom

Cell: 5.140 7.275 14.556 Å, 90.00 90.00 90.00°
Positions (direct):
1 Ac 0.000 0.000 0.500
2 Ac 0.000 0.500 0.000
3 Tb 0.000 0.000 0.000
4 Tb 0.000 0.500 0.500
5 Tb 0.000 0.502 0.747
6 Tb 0.000 0.498 0.253
7 Tb 0.000 0.998 0.247
8 Tb 0.000 0.002 0.753
9 Tb 0.500 0.248 0.872
10 Tb 0.500 0.752 0.128
11 Tb 0.500 0.252 0.372
12 Tb 0.500 0.748 0.628
13 Pm 0.500 0.254 0.628
14 Pm 0.500 0.746 0.372
15 Pm 0.500 0.246 0.128
16 Pm 0.500 0.754 0.872

=====

MgVZnTe2 | PBE | optimized geometry

Computed properties:
magnetic moment: 0.374 μB/atom
formation energy without anion corrections: 204 meV/atom

Cell: 5.288 4.860 5.288 Å, 90.00 90.00 90.00°
Positions (direct):
1 Zn 0.000 0.500 0.000
2 Te 0.000 0.000 0.500
3 Te 0.500 0.000 0.000
4 Mg 0.500 0.500 0.500
5 V 0.000 0.000 0.000